1:
! Na2RhPb6 (PBE, relaxed); values from VASP
! Space group: No. 12
! Total magnetic moment, μB/f.u.: 0.00
&SYSTEM
  ibrav = 0, nat = 9, ntyp = 3
/
ATOMIC_SPECIES
Na 22.99 Na.upf
Rh 102.91 Rh.upf
Pb 207.20 Pb.upf
CELL_PARAMETERS angstrom
7.6347 -4.3714 0.0000
7.6347 4.3714 0.0000
-1.2587 0.0000 4.2154
ATOMIC_POSITIONS crystal
Na 0.1326 0.1326 0.1244
Na 0.8674 0.8674 0.8756
Rh 0.5000 0.5000 0.5000
Pb 0.1497 0.5174 0.3346
Pb 0.2976 0.7024 0.0000
Pb 0.4826 0.8503 0.6654
Pb 0.5174 0.1497 0.3346
Pb 0.7024 0.2976 0.0000
Pb 0.8503 0.4826 0.6654

---

2:
! Na2RhPb6 (PBE, relaxed); values from VASP
! Space group: No. 38
! Total magnetic moment, μB/f.u.: 0.00
&SYSTEM
  ibrav = 0, nat = 9, ntyp = 3
/
ATOMIC_SPECIES
Na 22.99 Na.upf
Rh 102.91 Rh.upf
Pb 207.20 Pb.upf
CELL_PARAMETERS angstrom
3.7254 0.0000 0.0000
0.0000 7.7458 4.4325
0.0000 -7.7458 4.4325
ATOMIC_POSITIONS crystal
Na 0.0000 0.1681 0.8319
Na 0.0000 0.8319 0.1681
Rh 0.5000 0.5000 0.5000
Pb 0.0000 0.2501 0.4982
Pb 0.0000 0.4982 0.2501
Pb 0.0000 0.7511 0.7511
Pb 0.5000 0.1521 0.1521
Pb 0.5000 0.5005 0.8441
Pb 0.5000 0.8441 0.5005

---

Stability ranking, top and bottom: 2 is the most stable and 1 is the least stable.

---

1:
! NaRhPb3 (PBE, relaxed); values from VASP
! Space group: No. 14
! Total magnetic moment, μB/f.u.: 0.00
&SYSTEM
  ibrav = 0, nat = 20, ntyp = 3
/
ATOMIC_SPECIES
Na 22.99 Na.upf
Rh 102.91 Rh.upf
Pb 207.20 Pb.upf
CELL_PARAMETERS angstrom
8.5442 0.0000 0.0000
0.0000 7.1983 0.0000
-4.8818 0.0000 8.6774
ATOMIC_POSITIONS crystal
Na 0.0896 0.2076 0.0525
Na 0.0896 0.2924 0.5525
Na 0.9104 0.7076 0.4475
Na 0.9104 0.7924 0.9475
Rh 0.4433 0.1879 0.0279
Rh 0.4433 0.3121 0.5279
Rh 0.5567 0.6879 0.4721
Rh 0.5567 0.8121 0.9721
Pb 0.1929 0.5494 0.2954
Pb 0.1929 0.9506 0.7954
Pb 0.2697 0.5235 0.9292
Pb 0.2697 0.9765 0.4292
Pb 0.4332 0.6331 0.6875
Pb 0.4332 0.8669 0.1875
Pb 0.5668 0.1331 0.8125
Pb 0.5668 0.3669 0.3125
Pb 0.7303 0.0235 0.5708
Pb 0.7303 0.4765 0.0708
Pb 0.8071 0.0494 0.2046
Pb 0.8071 0.4506 0.7046

---

2:
! NaRhPb3 (PBE, relaxed); values from VASP
! Space group: No. 221
! Total magnetic moment, μB/f.u.: 0.00
&SYSTEM
  ibrav = 0, nat = 5, ntyp = 3
/
ATOMIC_SPECIES
Na 22.99 Na.upf
Rh 102.91 Rh.upf
Pb 207.20 Pb.upf
CELL_PARAMETERS angstrom
5.3760 0.0000 0.0000
0.0000 5.3760 0.0000
0.0000 0.0000 5.3760
ATOMIC_POSITIONS crystal
Na 0.0000 0.0000 0.0000
Rh 0.5000 0.5000 0.5000
Pb 0.0000 0.5000 0.5000
Pb 0.5000 0.0000 0.5000
Pb 0.5000 0.5000 0.0000

---

Stability ranking, top and bottom: 1 is the most stable and 2 is the least stable.

---

1:
! NaRhPb3 (PBE, relaxed); values from VASP
! Space group: No. 221
! Total magnetic moment, μB/f.u.: 0.50
&SYSTEM
  ibrav = 0, nat = 5, ntyp = 3
/
ATOMIC_SPECIES
Na 22.99 Na.upf
Rh 102.91 Rh.upf
Pb 207.20 Pb.upf
CELL_PARAMETERS angstrom
5.3103 0.0000 0.0000
0.0000 5.3103 0.0000
0.0000 0.0000 5.3103
ATOMIC_POSITIONS crystal
Na 0.0000 0.0000 0.0000
Rh 0.5000 0.5000 0.5000
Pb 0.0000 0.0000 0.5000
Pb 0.0000 0.5000 0.0000
Pb 0.5000 0.0000 0.0000

---

2:
! NaRhPb3 (PBE, relaxed); values from VASP
! Space group: No. 15
! Total magnetic moment, μB/f.u.: 0.00
&SYSTEM
  ibrav = 0, nat = 20, ntyp = 3
/
ATOMIC_SPECIES
Na 22.99 Na.upf
Rh 102.91 Rh.upf
Pb 207.20 Pb.upf
CELL_PARAMETERS angstrom
6.3081 -7.2171 0.0000
6.3081 7.2171 0.0000
-0.3900 0.0000 5.8802
ATOMIC_POSITIONS crystal
Na 0.0534 0.1832 0.0720
Na 0.1832 0.0534 0.5720
Na 0.8168 0.9466 0.4280
Na 0.9466 0.8168 0.9280
Rh 0.3506 0.6494 0.2500
Rh 0.4473 0.5527 0.7500
Rh 0.5527 0.4473 0.2500
Rh 0.6494 0.3506 0.7500
Pb 0.0860 0.7068 0.4185
Pb 0.1663 0.5547 0.8845
Pb 0.2765 0.3883 0.4089
Pb 0.2932 0.9140 0.0815
Pb 0.3883 0.2765 0.9089
Pb 0.4453 0.8337 0.6155
Pb 0.5547 0.1663 0.3845
Pb 0.6117 0.7235 0.0911
Pb 0.7068 0.0860 0.9185
Pb 0.7235 0.6117 0.5911
Pb 0.8337 0.4453 0.1155
Pb 0.9140 0.2932 0.5815

---

Stability ranking, top and bottom: 2 is the most stable and 1 is the least stable.

---

1:
! NaSrRhPb2 (PBE, relaxed); values from VASP
! Space group: No. 123
! Total magnetic moment, μB/f.u.: 0.00
&SYSTEM
  ibrav = 0, nat = 5, ntyp = 4
/
ATOMIC_SPECIES
Na 22.99 Na.upf
Sr 87.62 Sr.upf
Rh 102.91 Rh.upf
Pb 207.20 Pb.upf
CELL_PARAMETERS angstrom
5.3819 0.0000 0.0000
0.0000 5.3819 0.0000
0.0000 0.0000 5.6058
ATOMIC_POSITIONS crystal
Na 0.0000 0.0000 0.0000
Sr 0.5000 0.5000 0.0000
Rh 0.5000 0.5000 0.5000
Pb 0.0000 0.5000 0.5000
Pb 0.5000 0.0000 0.5000

---

2:
! NaSrRhPb2 (PBE, relaxed); values from VASP
! Space group: No. 123
! Total magnetic moment, μB/f.u.: 0.00
&SYSTEM
  ibrav = 0, nat = 5, ntyp = 4
/
ATOMIC_SPECIES
Na 22.99 Na.upf
Sr 87.62 Sr.upf
Rh 102.91 Rh.upf
Pb 207.20 Pb.upf
CELL_PARAMETERS angstrom
5.3174 0.0000 0.0000
0.0000 5.3174 0.0000
0.0000 0.0000 5.3246
ATOMIC_POSITIONS crystal
Na 0.0000 0.0000 0.0000
Sr 0.5000 0.5000 0.0000
Rh 0.0000 0.0000 0.5000
Pb 0.0000 0.5000 0.5000
Pb 0.5000 0.0000 0.5000

---

Stability ranking, top and bottom: 1 is the most stable and 2 is the least stable.

---

1:
! NaTlRhPb2 (PBE, relaxed); values from VASP
! Space group: No. 123
! Total magnetic moment, μB/f.u.: 0.00
&SYSTEM
  ibrav = 0, nat = 5, ntyp = 4
/
ATOMIC_SPECIES
Na 22.99 Na.upf
Tl 204.38 Tl.upf
Rh 102.91 Rh.upf
Pb 207.20 Pb.upf
CELL_PARAMETERS angstrom
5.2365 0.0000 0.0000
0.0000 5.2365 0.0000
0.0000 0.0000 5.4619
ATOMIC_POSITIONS crystal
Na 0.0000 0.0000 0.0000
Tl 0.5000 0.5000 0.0000
Rh 0.0000 0.0000 0.5000
Pb 0.0000 0.5000 0.5000
Pb 0.5000 0.0000 0.5000

---

2:
! NaTlRhPb2 (PBE, relaxed); values from VASP
! Space group: No. 123
! Total magnetic moment, μB/f.u.: 0.00
&SYSTEM
  ibrav = 0, nat = 5, ntyp = 4
/
ATOMIC_SPECIES
Na 22.99 Na.upf
Tl 204.38 Tl.upf
Rh 102.91 Rh.upf
Pb 207.20 Pb.upf
CELL_PARAMETERS angstrom
5.3629 0.0000 0.0000
0.0000 5.3629 0.0000
0.0000 0.0000 5.3436
ATOMIC_POSITIONS crystal
Na 0.0000 0.0000 0.0000
Tl 0.5000 0.5000 0.0000
Rh 0.5000 0.5000 0.5000
Pb 0.0000 0.5000 0.5000
Pb 0.5000 0.0000 0.5000

---

Stability ranking, top and bottom: 1 is the most stable and 2 is the least stable.

---

1:
! NaRu3Pb (PBE, relaxed); values from VASP
! Space group: No. 221
! Total magnetic moment, μB/f.u.: 4.86
&SYSTEM
  ibrav = 0, nat = 5, ntyp = 3
/
ATOMIC_SPECIES
Na 22.99 Na.upf
Ru 101.07 Ru.upf
Pb 207.20 Pb.upf
CELL_PARAMETERS angstrom
5.0794 0.0000 0.0000
0.0000 5.0794 0.0000
0.0000 0.0000 5.0794
ATOMIC_POSITIONS crystal
Na 0.0000 0.0000 0.0000
Ru 0.0000 0.5000 0.5000
Ru 0.5000 0.0000 0.5000
Ru 0.5000 0.5000 0.0000
Pb 0.5000 0.5000 0.5000

---

2:
! NaRu3Pb (PBE, relaxed); values from VASP
! Space group: No. 221
! Total magnetic moment, μB/f.u.: 3.48
&SYSTEM
  ibrav = 0, nat = 5, ntyp = 3
/
ATOMIC_SPECIES
Na 22.99 Na.upf
Ru 101.07 Ru.upf
Pb 207.20 Pb.upf
CELL_PARAMETERS angstrom
4.5795 0.0000 0.0000
0.0000 4.5795 0.0000
0.0000 0.0000 4.5795
ATOMIC_POSITIONS crystal
Na 0.0000 0.0000 0.0000
Ru 0.0000 0.0000 0.5000
Ru 0.0000 0.5000 0.0000
Ru 0.5000 0.0000 0.0000
Pb 0.5000 0.5000 0.5000

---

Stability ranking, top and bottom: 1 is the most stable and 2 is the least stable.

---

1:
! NaRuPb3 (PBE, relaxed); values from VASP
! Space group: No. 221
! Total magnetic moment, μB/f.u.: 2.13
&SYSTEM
  ibrav = 0, nat = 5, ntyp = 3
/
ATOMIC_SPECIES
Na 22.99 Na.upf
Ru 101.07 Ru.upf
Pb 207.20 Pb.upf
CELL_PARAMETERS angstrom
5.3472 0.0000 0.0000
0.0000 5.3472 0.0000
0.0000 0.0000 5.3472
ATOMIC_POSITIONS crystal
Na 0.0000 0.0000 0.0000
Ru 0.5000 0.5000 0.5000
Pb 0.0000 0.0000 0.5000
Pb 0.0000 0.5000 0.0000
Pb 0.5000 0.0000 0.0000

---

2:
! NaRuPb3 (PBE, relaxed); values from VASP
! Space group: No. 221
! Total magnetic moment, μB/f.u.: 1.19
&SYSTEM
  ibrav = 0, nat = 5, ntyp = 3
/
ATOMIC_SPECIES
Na 22.99 Na.upf
Ru 101.07 Ru.upf
Pb 207.20 Pb.upf
CELL_PARAMETERS angstrom
5.3554 0.0000 0.0000
0.0000 5.3554 0.0000
0.0000 0.0000 5.3554
ATOMIC_POSITIONS crystal
Na 0.0000 0.0000 0.0000
Ru 0.5000 0.5000 0.5000
Pb 0.0000 0.5000 0.5000
Pb 0.5000 0.0000 0.5000
Pb 0.5000 0.5000 0.0000

---

Stability ranking, top and bottom: 2 is the most stable and 1 is the least stable.

---

1:
! NaPbS3 (PBE, relaxed); values from VASP
! Space group: No. 221
! Total magnetic moment, μB/f.u.: 0.00
&SYSTEM
  ibrav = 0, nat = 5, ntyp = 3
/
ATOMIC_SPECIES
Na 22.99 Na.upf
Pb 207.20 Pb.upf
S 32.06 S.upf
CELL_PARAMETERS angstrom
5.2403 0.0000 0.0000
0.0000 5.2403 0.0000
0.0000 0.0000 5.2403
ATOMIC_POSITIONS crystal
Na 0.0000 0.0000 0.0000
Pb 0.5000 0.5000 0.5000
S 0.0000 0.5000 0.5000
S 0.5000 0.0000 0.5000
S 0.5000 0.5000 0.0000

---

2:
! NaPbS3 (PBE, relaxed); values from VASP
! Space group: No. 221
! Total magnetic moment, μB/f.u.: 2.78
&SYSTEM
  ibrav = 0, nat = 5, ntyp = 3
/
ATOMIC_SPECIES
Na 22.99 Na.upf
Pb 207.20 Pb.upf
S 32.06 S.upf
CELL_PARAMETERS angstrom
4.9899 0.0000 0.0000
0.0000 4.9899 0.0000
0.0000 0.0000 4.9899
ATOMIC_POSITIONS crystal
Na 0.0000 0.0000 0.0000
Pb 0.5000 0.5000 0.5000
S 0.0000 0.0000 0.5000
S 0.0000 0.5000 0.0000
S 0.5000 0.0000 0.0000

---

Stability ranking, top and bottom: 1 is the most stable and 2 is the least stable.

---

1:
! Na2PbS (PBE, relaxed); values from VASP
! Space group: No. 225
! Total magnetic moment, μB/f.u.: 0.00
&SYSTEM
  ibrav = 0, nat = 4, ntyp = 3
/
ATOMIC_SPECIES
Na 22.99 Na.upf
Pb 207.20 Pb.upf
S 32.06 S.upf
CELL_PARAMETERS angstrom
0.0000 3.6676 3.6676
3.6676 0.0000 3.6676
3.6676 3.6676 0.0000
ATOMIC_POSITIONS crystal
Na 0.2500 0.2500 0.2500
Na 0.7500 0.7500 0.7500
Pb 0.0000 0.0000 0.0000
S 0.5000 0.5000 0.5000

---

2:
! Na2PbS (PBE, relaxed); values from VASP
! Space group: No. 122
! Total magnetic moment, μB/f.u.: 0.00
&SYSTEM
  ibrav = 0, nat = 8, ntyp = 3
/
ATOMIC_SPECIES
Na 22.99 Na.upf
Pb 207.20 Pb.upf
S 32.06 S.upf
CELL_PARAMETERS angstrom
-4.2085 4.2085 3.0457
4.2085 -4.2085 3.0457
4.2085 4.2085 -3.0457
ATOMIC_POSITIONS crystal
Na 0.0532 0.6250 0.9282
Na 0.3750 0.3032 0.4282
Na 0.6968 0.1250 0.0718
Na 0.8750 0.9468 0.5718
Pb 0.2500 0.7500 0.5000
Pb 0.5000 0.5000 0.0000
S 0.0000 0.0000 0.0000
S 0.7500 0.2500 0.5000

---

Stability ranking, top and bottom: 2 is the most stable and 1 is the least stable.

---

1:
! Na3PbS3 (PBE, relaxed); values from VASP
! Space group: No. 148
! Total magnetic moment, μB/f.u.: 0.00
&SYSTEM
  ibrav = 0, nat = 14, ntyp = 3
/
ATOMIC_SPECIES
Na 22.99 Na.upf
Pb 207.20 Pb.upf
S 32.06 S.upf
CELL_PARAMETERS angstrom
3.9847 2.3006 6.4718
-3.9847 2.3006 6.4718
0.0000 -4.6012 6.4718
ATOMIC_POSITIONS crystal
Na 0.1234 0.3791 0.8197
Na 0.1803 0.8766 0.6209
Na 0.3791 0.8197 0.1234
Na 0.6209 0.1803 0.8766
Na 0.8197 0.1234 0.3791
Na 0.8766 0.6209 0.1803
Pb 0.3296 0.3296 0.3296
Pb 0.6704 0.6704 0.6704
S 0.0613 0.7080 0.4672
S 0.2920 0.5328 0.9387
S 0.4672 0.0613 0.7080
S 0.5328 0.9387 0.2920
S 0.7080 0.4672 0.0613
S 0.9387 0.2920 0.5328

---

2:
! Na3PbS3 (PBE, relaxed); values from VASP
! Space group: No. 12
! Total magnetic moment, μB/f.u.: 0.00
&SYSTEM
  ibrav = 0, nat = 14, ntyp = 3
/
ATOMIC_SPECIES
Na 22.99 Na.upf
Pb 207.20 Pb.upf
S 32.06 S.upf
CELL_PARAMETERS angstrom
4.0800 -6.5278 0.0000
4.0800 6.5278 0.0000
-0.4607 0.0000 7.2381
ATOMIC_POSITIONS crystal
Na 0.2027 0.7973 0.0000
Na 0.2561 0.7439 0.5000
Na 0.3853 0.3853 0.1326
Na 0.6147 0.6147 0.8674
Na 0.7439 0.2561 0.5000
Na 0.7973 0.2027 0.0000
Pb 0.2008 0.2008 0.6100
Pb 0.7992 0.7992 0.3900
S 0.0514 0.0514 0.1391
S 0.1986 0.5008 0.7771
S 0.4992 0.8014 0.2229
S 0.5008 0.1986 0.7771
S 0.8014 0.4992 0.2229
S 0.9486 0.9486 0.8609

---

Stability ranking, top and bottom: 2 is the most stable and 1 is the least stable.

---

1:
! Na2Sb2Pb (PBE, relaxed); values from VASP
! Space group: No. 127
! Total magnetic moment, μB/f.u.: 0.00
&SYSTEM
  ibrav = 0, nat = 10, ntyp = 3
/
ATOMIC_SPECIES
Na 22.99 Na.upf
Sb 121.76 Sb.upf
Pb 207.20 Pb.upf
CELL_PARAMETERS angstrom
9.0765 0.0000 0.0000
0.0000 9.0765 0.0000
0.0000 0.0000 3.4531
ATOMIC_POSITIONS crystal
Na 0.1733 0.3267 0.0000
Na 0.3267 0.8267 0.0000
Na 0.6733 0.1733 0.0000
Na 0.8267 0.6733 0.0000
Sb 0.1221 0.6221 0.5000
Sb 0.3779 0.1221 0.5000
Sb 0.6221 0.8779 0.5000
Sb 0.8779 0.3779 0.5000
Pb 0.0000 0.0000 0.5000
Pb 0.5000 0.5000 0.5000

---

2:
! Na2Sb2Pb (PBE, relaxed); values from VASP
! Space group: No. 127
! Total magnetic moment, μB/f.u.: 0.00
&SYSTEM
  ibrav = 0, nat = 10, ntyp = 3
/
ATOMIC_SPECIES
Na 22.99 Na.upf
Sb 121.76 Sb.upf
Pb 207.20 Pb.upf
CELL_PARAMETERS angstrom
9.0924 0.0000 0.0000
0.0000 9.0924 0.0000
0.0000 0.0000 3.3977
ATOMIC_POSITIONS crystal
Na 0.1159 0.3841 0.0000
Na 0.3841 0.8841 0.0000
Na 0.6159 0.1159 0.0000
Na 0.8841 0.6159 0.0000
Sb 0.1835 0.6835 0.5000
Sb 0.3165 0.1835 0.5000
Sb 0.6835 0.8165 0.5000
Sb 0.8165 0.3165 0.5000
Pb 0.0000 0.0000 0.0000
Pb 0.5000 0.5000 0.0000

---

Stability ranking, top and bottom: 1 is the most stable and 2 is the least stable.

---

1:
! Na2Sb2Pb (PBE, relaxed); values from VASP
! Space group: No. 139
! Total magnetic moment, μB/f.u.: 0.00
&SYSTEM
  ibrav = 0, nat = 5, ntyp = 3
/
ATOMIC_SPECIES
Na 22.99 Na.upf
Sb 121.76 Sb.upf
Pb 207.20 Pb.upf
CELL_PARAMETERS angstrom
-2.4163 2.4163 6.6178
2.4163 -2.4163 6.6178
2.4163 2.4163 -6.6178
ATOMIC_POSITIONS crystal
Na 0.2500 0.7500 0.5000
Na 0.7500 0.2500 0.5000
Sb 0.1047 0.1047 0.0000
Sb 0.8953 0.8953 0.0000
Pb 0.5000 0.5000 0.0000

---

2:
! Na2Sb2Pb (PBE, relaxed); values from VASP
! Space group: No. 12
! Total magnetic moment, μB/f.u.: 0.00
&SYSTEM
  ibrav = 0, nat = 10, ntyp = 3
/
ATOMIC_SPECIES
Na 22.99 Na.upf
Sb 121.76 Sb.upf
Pb 207.20 Pb.upf
CELL_PARAMETERS angstrom
6.4427 -2.5648 0.0000
6.4427 2.5648 0.0000
-4.8503 0.0000 9.5952
ATOMIC_POSITIONS crystal
Na 0.0178 0.0178 0.1938
Na 0.1787 0.1787 0.5814
Na 0.8213 0.8213 0.4186
Na 0.9822 0.9822 0.8062
Sb 0.3695 0.3695 0.9162
Sb 0.4506 0.4506 0.5988
Sb 0.5494 0.5494 0.4012
Sb 0.6305 0.6305 0.0838
Pb 0.3010 0.3010 0.1576
Pb 0.6990 0.6990 0.8424

---

Stability ranking, top and bottom: 2 is the most stable and 1 is the least stable.